No. 1
Crystalline NdSmAuSe3 at its relaxed geometry. Source: the Open Quantum Materials Database, functional GGA-PBE.

a = 7.337 Å, b = 7.337 Å, c = 10.584 Å
α = 90.00°, β = 90.00°, γ = 148.48°
Sites, in units of the cell vectors:
Au 0.971 0.029 0.250
Au 0.029 0.971 0.750
Nd 0.500 0.500 0.000
Nd 0.500 0.500 0.500
Se 0.845 0.155 0.061
Se 0.611 0.389 0.250
Se 0.845 0.155 0.439
Se 0.155 0.845 0.561
Se 0.389 0.611 0.750
Se 0.155 0.845 0.939
Sm 0.271 0.729 0.250
Sm 0.729 0.271 0.750

Calculated values
Symmetry = Cmcm (63)
Raw total energy = -62.6 eV/cell

***

No. 2
Crystalline NdSnAuSe3 at its relaxed geometry. Source: the Open Quantum Materials Database, functional GGA-PBE.

a = 11.784 Å, b = 4.278 Å, c = 12.082 Å
α = 90.00°, β = 90.00°, γ = 90.00°
Sites, in units of the cell vectors:
Au 0.765 0.000 0.204
Au 0.265 0.000 0.296
Au 0.735 0.500 0.704
Au 0.235 0.500 0.796
Nd 0.475 0.500 0.193
Nd 0.975 0.500 0.307
Nd 0.025 0.000 0.693
Nd 0.525 0.000 0.807
Se 0.592 0.000 0.062
Se 0.971 0.000 0.130
Se 0.216 0.500 0.170
Se 0.716 0.500 0.330
Se 0.471 0.000 0.370
Se 0.092 0.000 0.438
Se 0.908 0.500 0.562
Se 0.529 0.500 0.630
Se 0.284 0.000 0.670
Se 0.784 0.000 0.830
Se 0.029 0.500 0.870
Se 0.408 0.500 0.938
Sn 0.804 0.500 0.018
Sn 0.304 0.500 0.482
Sn 0.696 0.000 0.518
Sn 0.196 0.000 0.982

Calculated values
Symmetry = Pnma (62)
Raw total energy = -110.3 eV/cell

***

No. 3
Crystalline NdSnAuSe3 at its relaxed geometry. Source: the Open Quantum Materials Database, functional GGA-PBE.

a = 7.246 Å, b = 7.246 Å, c = 10.810 Å
α = 90.00°, β = 90.00°, γ = 32.92°
Sites, in units of the cell vectors:
Au 0.470 0.470 0.250
Au 0.530 0.530 0.750
Nd 0.000 0.000 0.000
Nd 0.000 0.000 0.500
Se 0.350 0.350 0.062
Se 0.097 0.097 0.250
Se 0.350 0.350 0.438
Se 0.650 0.650 0.562
Se 0.903 0.903 0.750
Se 0.650 0.650 0.938
Sn 0.768 0.768 0.250
Sn 0.232 0.232 0.750

Calculated values
Symmetry = Cmcm (63)
Raw total energy = -55.5 eV/cell

***

No. 4
Crystalline NdTlAuSe3 at its relaxed geometry. Source: the Open Quantum Materials Database, functional GGA-PBE.

a = 7.620 Å, b = 7.620 Å, c = 10.937 Å
α = 90.00°, β = 90.00°, γ = 148.76°
Sites, in units of the cell vectors:
Au 0.972 0.028 0.250
Au 0.028 0.972 0.750
Nd 0.500 0.500 0.000
Nd 0.500 0.500 0.500
Se 0.861 0.139 0.061
Se 0.584 0.416 0.250
Se 0.861 0.139 0.439
Se 0.139 0.861 0.561
Se 0.416 0.584 0.750
Se 0.139 0.861 0.939
Tl 0.259 0.741 0.250
Tl 0.741 0.259 0.750

Calculated values
Symmetry = Cmcm (63)
Raw total energy = -52.0 eV/cell

***

No. 5
Crystalline NdTlAu3Se4 at its relaxed geometry. Source: the Open Quantum Materials Database, functional GGA-PBE.

a = 6.457 Å, b = 6.457 Å, c = 6.457 Å
α = 90.00°, β = 90.00°, γ = 90.00°
Sites, in units of the cell vectors:
Au 0.500 0.000 0.000
Au 0.000 0.500 0.000
Au 0.000 0.000 0.500
Nd 0.000 0.000 0.000
Se 0.752 0.248 0.248
Se 0.248 0.752 0.248
Se 0.248 0.248 0.752
Se 0.752 0.752 0.752
Tl 0.500 0.500 0.500

Calculated values
Symmetry = P-43m (215)
Raw total energy = -34.3 eV/cell

***

No. 6
Crystalline Nd4Si3Au at its relaxed geometry. Source: the Open Quantum Materials Database, functional GGA-PBE.

a = 5.986 Å, b = 4.087 Å, c = 8.161 Å
α = 90.00°, β = 90.53°, γ = 90.00°
Sites, in units of the cell vectors:
Au 0.627 0.500 0.465
Nd 0.621 0.000 0.180
Nd 0.118 0.500 0.321
Nd 0.884 0.000 0.675
Nd 0.384 0.500 0.821
Si 0.120 0.000 0.034
Si 0.363 0.000 0.540
Si 0.883 0.500 0.963

Calculated values
Symmetry = Pm (6)
Raw total energy = -44.4 eV/cell

***

No. 7
Crystalline Nd3Si4Au2 at its relaxed geometry. Source: the Open Quantum Materials Database, functional GGA-PBE.

a = 5.978 Å, b = 5.978 Å, c = 8.412 Å
α = 99.93°, β = 99.93°, γ = 41.73°
Sites, in units of the cell vectors:
Au 0.387 0.387 0.220
Au 0.613 0.613 0.780
Nd 0.663 0.663 0.171
Nd 0.000 0.000 0.500
Nd 0.337 0.337 0.829
Si 0.946 0.946 0.108
Si 0.277 0.277 0.447
Si 0.723 0.723 0.553
Si 0.054 0.054 0.892

Calculated values
Symmetry = C2/m (12)
Raw total energy = -49.8 eV/cell

***

No. 8
Crystalline Nd2SmSi4Au4 at its relaxed geometry. Source: the Open Quantum Materials Database, functional GGA-PBE.

a = 12.950 Å, b = 12.950 Å, c = 12.950 Å
α = 161.06°, β = 160.96°, γ = 26.98°
Sites, in units of the cell vectors:
Au 0.250 0.250 0.000
Au 0.750 0.750 0.000
Au 0.906 0.406 0.500
Au 0.094 0.594 0.500
Nd 0.648 0.148 0.500
Nd 0.352 0.852 0.500
Si 0.453 0.453 0.000
Si 0.547 0.547 0.000
Si 0.809 0.309 0.500
Si 0.191 0.691 0.500
Sm 0.000 0.000 0.000

Calculated values
Symmetry = Immm (71)
Raw total energy = -57.2 eV/cell

***

No. 9
Crystalline NdSm2Si4Au4 at its relaxed geometry. Source: the Open Quantum Materials Database, functional GGA-PBE.

a = 12.946 Å, b = 12.946 Å, c = 12.946 Å
α = 161.14°, β = 160.98°, γ = 26.91°
Sites, in units of the cell vectors:
Au 0.250 0.250 0.000
Au 0.750 0.750 0.000
Au 0.905 0.405 0.500
Au 0.095 0.595 0.500
Nd 0.000 0.000 0.000
Si 0.453 0.453 0.000
Si 0.547 0.547 0.000
Si 0.809 0.309 0.500
Si 0.191 0.691 0.500
Sm 0.648 0.148 0.500
Sm 0.352 0.852 0.500

Calculated values
Symmetry = Immm (71)
Raw total energy = -57.1 eV/cell

***

No. 10
Crystalline TbNdSi3Au at its relaxed geometry. Source: the Open Quantum Materials Database, functional GGA-PBE.

a = 8.317 Å, b = 8.262 Å, c = 5.892 Å
α = 69.68°, β = 68.69°, γ = 41.63°
Sites, in units of the cell vectors:
Au 0.668 0.668 0.332
Au 0.332 0.332 0.668
Nd 0.244 0.756 0.244
Nd 0.756 0.244 0.756
Si 0.836 0.836 0.164
Si 0.835 0.329 0.165
Si 0.671 0.165 0.329
Si 0.329 0.835 0.671
Si 0.165 0.671 0.835
Si 0.164 0.164 0.836
Tb 0.250 0.250 0.250
Tb 0.750 0.750 0.750

Calculated values
Symmetry = Fmmm (69)
Raw total energy = -67.4 eV/cell

***

No. 11
Crystalline TbNd2Si4Au4 at its relaxed geometry. Source: the Open Quantum Materials Database, functional GGA-PBE.

a = 12.923 Å, b = 12.923 Å, c = 12.923 Å
α = 161.17°, β = 160.90°, γ = 26.94°
Sites, in units of the cell vectors:
Au 0.250 0.250 0.000
Au 0.750 0.750 0.000
Au 0.907 0.407 0.500
Au 0.093 0.593 0.500
Nd 0.648 0.148 0.500
Nd 0.352 0.852 0.500
Si 0.453 0.453 0.000
Si 0.547 0.547 0.000
Si 0.809 0.309 0.500
Si 0.191 0.691 0.500
Tb 0.000 0.000 0.000

Calculated values
Symmetry = Immm (71)
Raw total energy = -57.1 eV/cell

***

No. 12
Crystalline Tb2NdZn2Si4Au2 at its relaxed geometry. Source: the Open Quantum Materials Database, functional GGA-PBE.

a = 12.928 Å, b = 12.928 Å, c = 12.928 Å
α = 161.75°, β = 161.24°, γ = 26.28°
Sites, in units of the cell vectors:
Au 0.403 0.403 0.000
Au 0.597 0.597 0.000
Nd 0.500 0.000 0.500
Si 0.308 0.308 0.000
Si 0.692 0.692 0.000
Si 0.953 0.453 0.500
Si 0.047 0.547 0.500
Tb 0.147 0.147 0.000
Tb 0.853 0.853 0.000
Zn 0.751 0.251 0.500
Zn 0.249 0.749 0.500

Calculated values
Symmetry = Immm (71)
Raw total energy = -51.9 eV/cell

***

Q: Look up the raw total energy of the tenth one.
A: -67.4 eV/cell

***

Q: Among the records above, which one has the lowest raw total energy?
A: number 2

***

Q: What is the raw total energy in the eleventh record?
A: -57.1 eV/cell